{
  "formula": "LiLaMg",
  "functional": "PBE-GGA",
  "state": "relaxed",
  "polymorph_energy_ev_per_atom": 0.6248,
  "n_ef_per_ev_cell": 21.1,
  "ef_ev_per_atom": 0.594,
  "spacegroup": "F-43m, No. 216",
  "cell": [[7.519, 0.000, 0.000], [0.000, 7.519, 0.000], [0.000, 0.000, 7.519]],
  "species": ["Li", "Li", "Li", "Li", "La", "La", "La", "La", "Mg", "Mg", "Mg", "Mg"],
  "frac_coords": [[0.000, 0.000, 0.000], [0.000, 0.500, 0.500], [0.500, 0.000, 0.500], [0.500, 0.500, 0.000], [0.250, 0.250, 0.250], [0.250, 0.750, 0.750], [0.750, 0.250, 0.750], [0.750, 0.750, 0.250], [0.000, 0.000, 0.500], [0.000, 0.500, 0.000], [0.500, 0.000, 0.000], [0.500, 0.500, 0.500]]
}

---

{
  "formula": "Ac2TmSb4Pt3",
  "functional": "PBE-GGA",
  "state": "relaxed",
  "dft_energy_ev_per_fu": -56.2,
  "n_ef_per_ev_cell": 4.6,
  "spacegroup": "P-4m2, No. 115",
  "cell": [[4.711, 0.000, 0.000], [0.000, 4.711, 0.000], [0.000, 0.000, 11.586]],
  "species": ["Ac", "Ac", "Tm", "Sb", "Sb", "Sb", "Sb", "Pt", "Pt", "Pt"],
  "frac_coords": [[0.000, 0.500, 0.233], [0.500, 0.000, 0.767], [0.000, 0.000, 0.500], [0.000, 0.000, 0.000], [0.000, 0.500, 0.649], [0.500, 0.000, 0.351], [0.500, 0.500, 0.000], [0.000, 0.500, 0.880], [0.500, 0.000, 0.120], [0.500, 0.500, 0.500]]
}

---

{
  "formula": "SrNiP2",
  "functional": "PBE-GGA",
  "state": "relaxed",
  "n_ef_per_ev_cell": 2.9,
  "ef_ev_per_atom": -0.215,
  "spacegroup": "P4/mmm, No. 123",
  "cell": [[3.367, 0.000, 0.000], [0.000, 3.367, 0.000], [0.000, 0.000, 6.280]],
  "species": ["Sr", "Ni", "P", "P"],
  "frac_coords": [[0.000, 0.000, 0.000], [0.000, 0.000, 0.500], [0.500, 0.500, 0.331], [0.500, 0.500, 0.669]]
}